No. 1
Below is a relaxed structure of ZrNiTeI2, with properties calculated at the PBE level.

Cell: 5.0835 5.0835 5.2616 Å, 90.00 90.00 90.00°
Last column: magnetic moment on the atom in μB.
Atoms (fractional coordinates):
I 0.5000 0.0000 0.0000  -0.06
I 0.0000 0.5000 0.0000  -0.06
Zr 0.5000 0.5000 0.5000  1.11
Te 0.0000 0.0000 0.5000  -0.11
Ni 0.0000 0.0000 0.0000  -0.11

Summary:
energy above the lowest structure with this stoichiometry: 0.0 meV/atom
E_form (uncorrected): 0.331 eV per atom

=====

No. 2
Below is a relaxed structure of Hf4H2Pt, with properties calculated at the PBE level.

Cell: 6.8096 6.8096 6.8238 Å, 103.56 100.96 125.05°
Atoms (fractional coordinates):
Hf 0.3089 0.1655 0.7637
Hf 0.8473 0.5847 0.6429
Hf 0.8155 0.1665 0.7597
Hf 0.8433 0.5825 0.1486
Hf 0.4018 0.5452 0.2363
Hf 0.9417 0.2044 0.3571
Hf 0.4068 0.0558 0.2404
Hf 0.4339 0.6947 0.8514
H 0.5503 0.8752 0.1750
H 0.6252 0.4541 0.3289
H 0.7001 0.3753 0.8250
H 0.1252 0.2963 0.6711
Pt 0.2676 0.7676 0.5000
Pt 0.9824 0.9823 0.0000

=====

No. 3
Below is a relaxed structure of Fe2OsAu, with properties calculated at the PBE level.

Cell: 4.2275 4.2275 4.2275 Å, 60.00 60.00 60.00°
Atoms (fractional coordinates):
Os 0.0000 0.0000 0.0000
Fe 0.7500 0.7500 0.7500
Fe 0.2500 0.2500 0.2500
Au 0.5000 0.5000 0.5000

Summary:
DFT formation energy: 2.744 eV/f.u.
energy above the lowest structure with this stoichiometry: 484.1 meV/atom

=====

No. 4
Below is a relaxed structure of Nb6Os5W, with properties calculated at the PBE level.

Cell: 4.5352 6.3408 7.2127 Å, 90.00 108.59 90.00°
Atoms (fractional coordinates):
Nb 0.5000 0.7505 0.0000
Nb 0.8370 0.2492 0.6726
Nb 0.1630 0.2492 0.3274
Nb 0.8370 0.7508 0.6726
Nb 0.1630 0.7508 0.3274
Nb 0.5000 0.2495 0.0000
Os 0.0000 0.5000 0.0000
Os 0.6695 0.5000 0.3408
Os 0.6696 0.0000 0.3400
Os 0.3305 0.5000 0.6592
Os 0.3304 0.0000 0.6600
W 0.0000 0.0000 0.0000

Summary:
DFT formation energy: -1.629 eV/f.u.

=====

No. 5
Below is a relaxed structure of NaSi3Pt3, with properties calculated at the PBE level.

Cell: 6.6738 6.6738 6.6738 Å, 90.00 90.00 90.00°
Atoms (fractional coordinates):
Pt 0.2500 0.5000 0.0000
Pt 0.5000 0.0000 0.7500
Pt 0.0000 0.2500 0.5000
Pt 0.0000 0.7500 0.5000
Pt 0.7500 0.5000 0.0000
Pt 0.5000 0.0000 0.2500
Na 0.0000 0.0000 0.0000
Na 0.5000 0.5000 0.5000
Si 0.5000 0.2500 0.0000
Si 0.7500 0.0000 0.5000
Si 0.2500 0.0000 0.5000
Si 0.0000 0.5000 0.2500
Si 0.0000 0.5000 0.7500
Si 0.5000 0.7500 0.0000

Summary:
energy above the lowest structure with this stoichiometry: 15.4 meV/atom
E_form (uncorrected): -0.483 eV per atom

=====

No. 6
Below is a relaxed structure of Sc3Ta, with properties calculated at the PBE level.

Cell: 4.4370 4.4370 5.4346 Å, 114.09 114.09 90.00°
Atoms (fractional coordinates):
Sc 0.2500 0.7500 0.5000
Sc 0.5000 0.5000 0.0000
Sc 0.7500 0.2500 0.5000
Ta 0.0000 0.0000 0.0000

Summary:
DFT formation energy: 0.620 eV/f.u.
energy above the lowest structure with this stoichiometry: 43.5 meV/atom

=====

No. 7
Below is a relaxed structure of Nb2HPb, with properties calculated at the PBE level.

Cell: 4.6289 4.6289 4.6289 Å, 60.00 60.00 60.00°
Atoms (fractional coordinates):
Pb 0.5000 0.5000 0.5000
H 0.0000 0.0000 0.0000
Nb 0.7500 0.7500 0.7500
Nb 0.2500 0.2500 0.2500

Summary:
energy above the lowest structure with this stoichiometry: 560.9 meV/atom

=====

No. 8
Below is a relaxed structure of Fe2Ni2Ir7, with properties calculated at the PBE level.

Cell: 4.9208 4.9208 6.2751 Å, 96.89 96.89 92.46°
Last column: magnetic moment on the atom in μB.
Atoms (fractional coordinates):
Ni 0.6889 0.3111 0.0000  0.13
Ni 0.3111 0.6889 0.0000  0.13
Ir 0.0898 0.4699 0.3063  0.03
Ir 0.9102 0.5301 0.6937  0.03
Ir 0.4699 0.0898 0.3063  0.03
Ir 0.0000 0.0000 0.5000  0.01
Ir 0.1726 0.1726 0.9312  0.03
Ir 0.8274 0.8274 0.0688  0.03
Ir 0.5301 0.9102 0.6937  0.03
Fe 0.3960 0.3960 0.6503  2.16
Fe 0.6040 0.6040 0.3497  2.16

Summary:
DFT formation energy: 1.194 eV/f.u.

=====

No. 9
Below is a relaxed structure of CdRe2Ag, with properties calculated at the PBE level.

Cell: 7.6151 7.6151 5.9725 Å, 50.39 50.39 90.00°
Last column: magnetic moment on the atom in μB.
Atoms (fractional coordinates):
Cd 0.0000 0.0000 0.0000  0.01
Cd 0.7500 0.2500 0.5000  0.01
Re 0.3750 0.3862 0.7500  1.00
Re 0.1362 0.6250 0.2500  1.00
Re 0.8750 0.8638 0.7500  1.00
Re 0.6138 0.1250 0.2500  1.00
Ag 0.2500 0.7500 0.5000  0.06
Ag 0.5000 0.5000 0.0000  0.06

Summary:
DFT formation energy: 5.963 eV/f.u.

=====

No. 10
Below is a relaxed structure of YAs3Rh, with properties calculated at the PBE level.

Cell: 4.8354 4.8354 4.8354 Å, 90.00 90.00 90.00°
Atoms (fractional coordinates):
As 0.0000 0.0000 0.5000
As 0.5000 0.0000 0.0000
As 0.0000 0.5000 0.0000
Rh 0.0000 0.0000 0.0000
Y 0.5000 0.5000 0.5000

Summary:
DFT formation energy: -0.509 eV/f.u.
energy above the lowest structure with this stoichiometry: 0.0 meV/atom

=====

No. 11
Below is a relaxed structure of MnCoSbRh, with properties calculated at the PBE level.

Cell: 4.3757 4.3757 4.3757 Å, 60.00 60.00 60.00°
Last column: magnetic moment on the atom in μB.
Atoms (fractional coordinates):
Sb 0.0000 0.0000 0.0000  0.01
Mn 0.5000 0.5000 0.5000  3.67
Rh 0.7500 0.7500 0.7500  0.52
Co 0.2500 0.2500 0.2500  1.32

Summary:
E_form (uncorrected): -0.172 eV per atom

=====

No. 12
Below is a relaxed structure of SrLaZr2, with properties calculated at the PBE level.

Cell: 6.1820 6.1820 3.3857 Å, 89.99 89.99 112.78°
Atoms (fractional coordinates):
Sr 0.0000 0.5000 0.5000
La 0.5000 0.0000 0.5000
Zr 0.5000 0.5000 0.0000
Zr 0.0000 0.0000 0.0000

Summary:
DFT formation energy: 1.858 eV/f.u.
energy above the lowest structure with this stoichiometry: 226.9 meV/atom

=====

no.,total magnetic moment (μB per atom),final energy (eV/atom)
1,0.2633,-3.783
2,0.0000,-7.908
3,0.0003,-7.172
4,0.0000,-10.929
5,0.0000,-5.584
6,0.0000,-7.557
7,0.0000,-5.917
8,0.4372,-8.120
9,0.5827,-5.675
10,0.0000,-5.655
11,1.4152,-7.110
12,0.0000,-5.462